Compound: Pm2PuSi3Pt4
Source: Alexandria
Functional: PBE-GGA
Structure: relaxed

abc: 4.2696 4.2696 10.8477
angles: 90.00 90.00 90.00
Fractional coordinates of all 10 atoms:
Pm: 0.0000 0.5000 0.2278
Pm: 0.5000 0.0000 0.7722
Pu: 0.0000 0.0000 0.5000
Si: 0.0000 0.5000 0.8833
Si: 0.5000 0.0000 0.1167
Si: 0.5000 0.5000 0.5000
Pt: 0.0000 0.0000 0.0000
Pt: 0.0000 0.5000 0.6644
Pt: 0.5000 0.0000 0.3356
Pt: 0.5000 0.5000 0.0000

Summary:
M_tot, μB/f.u.: 5.5
Formation energy without anion corrections, eV/atom: -0.963
E_tot, eV for the cell shown: -73.89
N(E_F), states/eV per atom: 1.11

=====

Compound: NaSc2Ag
Source: Alexandria
Functional: PBE-GGA
Structure: relaxed

abc: 8.0973 8.0973 6.0995
angles: 90.00 90.00 90.00
Fractional coordinates of all 16 atoms:
Na: 0.0000 0.0000 0.0000
Na: 0.0000 0.5000 0.2500
Na: 0.5000 0.0000 0.7500
Na: 0.5000 0.5000 0.5000
Sc: 0.2105 0.2500 0.6250
Sc: 0.2500 0.7105 0.8750
Sc: 0.2500 0.7895 0.3750
Sc: 0.2895 0.2500 0.1250
Sc: 0.7105 0.7500 0.1250
Sc: 0.7500 0.2105 0.3750
Sc: 0.7500 0.2895 0.8750
Sc: 0.7895 0.7500 0.6250
Ag: 0.0000 0.0000 0.5000
Ag: 0.0000 0.5000 0.7500
Ag: 0.5000 0.0000 0.2500
Ag: 0.5000 0.5000 0.0000

Summary:
Formation energy, kJ/mol of atoms: 34.94
M_tot, μB/f.u.: 1.0
Energy above the lowest structure with this stoichiometry, kJ/mol of atoms: 20.05
E_tot, eV for the cell shown: -61.54
N(E_F), states/eV per atom: 1.03

=====

Compound: B3RhCl
Source: Alexandria
Functional: PBE-GGA
Structure: relaxed

abc: 4.1525 4.1525 4.1525
angles: 90.00 90.00 90.00
Fractional coordinates of all 5 atoms:
B: 0.0000 0.0000 0.5000
B: 0.0000 0.5000 0.0000
B: 0.5000 0.0000 0.0000
Rh: 0.0000 0.0000 0.0000
Cl: 0.5000 0.5000 0.5000

Summary:
M_tot, μB/f.u.: 0.0
Formation energy without anion corrections, eV/atom: 0.970
Energy above the lowest structure with this stoichiometry, kJ/mol of atoms: 0.00
E_tot, eV for the cell shown: -24.38
N(E_F), states/eV per atom: 0.71